VASP calculation (PBE-GGA) on a relaxed KAl crystal.

a = 6.967 Å, b = 6.992 Å, c = 3.816 Å
α = 74.16°, β = 74.11°, γ = 52.06°
Fractional coordinates of all 4 atoms:
K 0.611 0.446 0.472
K 0.306 0.138 0.278
Al 0.884 0.714 0.701
Al 0.033 0.870 0.049

E above lowest polymorph   143 meV/atom
E   -8.64 eV for the cell shown
Formation energy from the elements   0.260 eV per atom